[1]
Density functional theory data (PBE) for a geometry-optimized NaReN4 structure.

abc: 5.069 5.069 6.575
angles: 90.00 90.00 90.00
Space group I4/mmm (No. 139)
Symmetry-distinct sites (fractional):
Na1 0.000 0.000 0.000 (multiplicity 2)
Re1 0.000 0.000 0.500 (multiplicity 2)
N1 0.000 0.382 0.500 (multiplicity 8)

Calculated values
As for the formation energy from raw total energies: 118 meV per atom. The value obtained for the volume is 14.079 Å³/atom.

***

[2]
Density functional theory data (PBE) for a geometry-optimized NaReN2 structure.

abc: 2.649 2.649 5.969
angles: 90.00 90.00 90.00
Space group P4/mmm (No. 123)
Symmetry-distinct sites (fractional):
Na1 0.000 0.000 0.000 (multiplicity 1)
Re1 0.000 0.000 0.500 (multiplicity 1)
N1 0.500 0.500 0.301 (multiplicity 2)

Calculated values
As for the formation energy from raw total energies: 256 meV per atom. For the density of states at the Fermi level, the calculation gives 0.46 states/eV/cell. As for the energy relative to the lowest polymorph listed for this composition: 378.6 meV per atom. The value obtained for the volume is 10.469 Å³/atom.

***

[3]
Density functional theory data (PBE) for a geometry-optimized Na3ReN3 structure.

abc: 10.618 3.390 11.608
angles: 90.00 90.00 90.00
Space group Pnma (No. 62)
Symmetry-distinct sites (fractional):
Na1 0.091 0.250 0.083 (multiplicity 4)
Na2 0.133 0.750 0.498 (multiplicity 4)
Na3 0.249 0.250 0.303 (multiplicity 4)
Re1 0.053 0.250 0.708 (multiplicity 4)
N1 0.032 0.250 0.337 (multiplicity 4)
N2 0.076 0.250 0.863 (multiplicity 4)
N3 0.202 0.250 0.632 (multiplicity 4)

Calculated values
As for the formation energy from raw total energies: -162 meV per atom. For the density of states at the Fermi level, the calculation gives 6.82 states/eV/cell. As for the energy relative to the lowest polymorph listed for this composition: 0.0 meV per atom. The value obtained for the volume is 14.923 Å³/atom.

***

[4]
Density functional theory data (PBE) for a geometry-optimized NaRe2N structure.

abc: 5.316 5.316 11.347
angles: 90.00 90.00 90.00
Space group I4_1/amd (No. 141, origin choice 2)
Symmetry-distinct sites (fractional):
Na1 0.000 0.250 0.375 (multiplicity 4)
Re1 0.000 0.000 0.000 (multiplicity 8)
N1 0.000 0.250 0.875 (multiplicity 4)

Calculated values
As for the formation energy from raw total energies: 1123 meV per atom. For the density of states at the Fermi level, the calculation gives 14.68 states/eV/cell. The value obtained for the volume is 20.045 Å³/atom.

***

[5]
Density functional theory data (PBE) for a geometry-optimized NaReN2 structure.

abc: 5.348 5.348 5.348
angles: 90.00 90.00 90.00
Space group Fm-3m (No. 225)
Symmetry-distinct sites (fractional):
Na1 0.000 0.000 0.000 (multiplicity 4)
Re1 0.000 0.000 0.500 (multiplicity 4)
N1 0.250 0.250 0.250 (multiplicity 8)

Calculated values
As for the formation energy from raw total energies: 995 meV per atom. For the density of states at the Fermi level, the calculation gives 14.17 states/eV/cell. As for the energy relative to the lowest polymorph listed for this composition: 1117.7 meV per atom. The value obtained for the volume is 9.559 Å³/atom.

***

[6]
Density functional theory data (PBE) for a geometry-optimized Na3ReN structure.

abc: 5.849 5.849 5.849
angles: 90.00 90.00 90.00
Space group Pm-3m (No. 221)
Symmetry-distinct sites (fractional):
Na1 0.000 0.000 0.500 (multiplicity 3)
Re1 0.000 0.000 0.000 (multiplicity 1)
N1 0.500 0.500 0.500 (multiplicity 1)

Calculated values
As for the formation energy from raw total energies: 2283 meV per atom. For the density of states at the Fermi level, the calculation gives 6.58 states/eV/cell. As for the energy relative to the lowest polymorph listed for this composition: 853.5 meV per atom. The value obtained for the volume is 40.014 Å³/atom.

***

[7]
Density functional theory data (PBE) for a geometry-optimized NaReN2 structure.

abc: 5.117 5.117 9.505
angles: 90.00 90.00 90.00
Space group I-42d (No. 122)
Symmetry-distinct sites (fractional):
Na1 0.000 0.000 0.000 (multiplicity 4)
Re1 0.000 0.000 0.500 (multiplicity 4)
N1 0.142 0.250 0.625 (multiplicity 8)

Calculated values
As for the formation energy from raw total energies: -122 meV per atom. For the density of states at the Fermi level, the calculation gives 5.05 states/eV/cell. As for the energy relative to the lowest polymorph listed for this composition: 0.0 meV per atom. The value obtained for the volume is 15.557 Å³/atom.

***

[8]
Density functional theory data (PBE) for a geometry-optimized NaReN3 structure.

abc: 11.191 12.292 5.808
angles: 90.00 107.10 90.00
Space group C2/c (No. 15)
Symmetry-distinct sites (fractional):
Na1 0.242 0.071 0.335 (multiplicity 8)
Re1 0.000 0.175 0.750 (multiplicity 4)
Re2 0.000 0.341 0.250 (multiplicity 4)
N1 0.061 0.259 0.536 (multiplicity 8)
N2 0.120 0.086 0.910 (multiplicity 8)
N3 0.121 0.431 0.238 (multiplicity 8)

Calculated values
As for the formation energy from raw total energies: 244 meV per atom. The value obtained for the volume is 19.090 Å³/atom.